No. 1
## NdB4Sb (PBE)

Data for crystalline NdB4Sb at its relaxed geometry.

For the total energy, the calculation gives -5.87 eV/atom. The crystal system is orthorhombic. The calculated volume is 12.82 Å³ per atom. The value obtained for the calculated density is 6.67 g cm⁻³.

The space group is Immm (No. 71) and the conventional cell measures 3.231, 5.301 and 8.985 Å, with angles of 90.00, 90.00 and 90.00 degrees. The distinct sites, in fractional coordinates, are Nd at (0.000, 0.000, 0.000), B at (0.000, 0.322, 0.262) and Sb at (0.000, 0.000, 0.500).

=====

No. 2
## HoZnO3 (PBE)

Data for crystalline HoZnO3 at its relaxed geometry.

For the total energy, the calculation gives -6.26 eV/atom. The crystal system is trigonal. The calculated volume is 11.02 Å³ per atom. The value obtained for the calculated density is 8.39 g cm⁻³.

The space group is R-3c (No. 167, hexagonal axes) and the conventional cell measures 5.5259, 5.5259 and 12.5025 Å, with angles of 90.00, 90.00 and 120.00 degrees. The distinct sites, in fractional coordinates, are Ho at (0.0000, 0.0000, 0.2500), Zn at (0.0000, 0.0000, 0.0000) and O at (0.0000, 0.3998, 0.2500).

=====

No. 3
## CdPtSeO (PBE)

Data for crystalline CdPtSeO at its relaxed geometry.

For the total energy, the calculation gives -4.19 eV/atom. The crystal system is orthorhombic. The calculated volume is 18.11 Å³ per atom. The value obtained for the calculated density is 9.23 g cm⁻³.

The space group is Pca2_1 (No. 29) and the conventional cell measures 6.204, 7.835 and 5.962 Å, with angles of 90.00, 90.00 and 90.00 degrees. The distinct sites, in fractional coordinates, are Cd at (0.128, 0.234, 0.000), Pt at (0.250, 0.674, 0.251), Se at (0.057, 0.875, 0.001) and O at (0.139, 0.513, 0.001).

=====

No. 4
## TbMg (PBE)

Data for crystalline TbMg at its relaxed geometry.

For the total energy, the calculation gives -3.09 eV/atom. The crystal system is orthorhombic. The calculated volume is 27.66 Å³ per atom. The value obtained for the calculated density is 5.50 g cm⁻³.

The space group is Amm2 (No. 38) and the conventional cell measures 5.486, 17.075 and 5.905 Å, with angles of 90.00, 90.00 and 90.00 degrees. The distinct sites, in fractional coordinates, are Tb at (0.000, 0.000, 0.000), Tb at (0.000, 0.102, 0.514), Tb at (0.500, 0.105, 0.160), Mg at (0.000, 0.202, 0.996), Mg at (0.500, 0.000, 0.661) and Mg at (0.500, 0.200, 0.675).